DFT (GGA+U) results for crystalline V4Zn2O9 at its relaxed geometry.

a b c (Å): 5.0921 5.1160 14.0638
angles (deg): 88.96 89.37 60.29
Space group P-1 (No. 2)
One atom of each set of equivalent atoms:
V  0.1554  0.1789  0.0177 (multiplicity 2)
V  0.1558  0.1661  0.3128 (multiplicity 2)
V  0.1671  0.1793  0.5175 (multiplicity 2)
V  0.1697  0.1761  0.8151 (multiplicity 2)
Zn  0.4873  0.5087  0.3562 (multiplicity 2)
Zn  0.4876  0.4933  0.1429 (multiplicity 2)
O  0.1192  0.8422  0.0801 (multiplicity 2)
O  0.1283  0.5171  0.5847 (multiplicity 2)
O  0.1503  0.8348  0.7472 (multiplicity 2)
O  0.1540  0.8807  0.4214 (multiplicity 2)
O  0.1546  0.4880  0.9158 (multiplicity 2)
O  0.1924  0.4873  0.2501 (multiplicity 2)
O  0.4649  0.1559  0.4186 (multiplicity 2)
O  0.4674  0.8834  0.9201 (multiplicity 2)
O  0.4942  0.8292  0.2538 (multiplicity 2)

Crystal system: triclinic
Fermi-level density of states in states/eV per cell: 0.80
VASP energy in eV per cell: -208.47